# 1
Rb2Br7O: optimized geometry, PBE-GGA.

a b c (Å): 7.4741 7.4741 7.7799
angles (deg): 61.29 61.29 90.00
Last column: nearest neighbours and their distance in Å.
Fractional positions:
Rb1 0.2500 0.7500 0.5000  12 Br 3.75-3.90
Rb2 0.7500 0.2500 0.5000  12 Br 3.75-3.90
Br1 0.2259 0.2259 0.5482  1 Br 2.58
Br2 0.7176 0.2824 0.0000  1 O 2.30
Br3 0.2824 0.2824 0.0000  1 O 2.30
Br4 0.7741 0.7741 0.4518  1 Br 2.58
Br5 0.7176 0.7176 0.0000  1 O 2.30
Br6 0.0000 0.0000 0.0000  2 Br 2.58
Br7 0.2824 0.7176 0.0000  1 O 2.30
O1 0.5000 0.5000 0.0000  4 Br 2.30

# 2
Rb8Br5O: optimized geometry, PBE-GGA.

a b c (Å): 9.9930 9.9930 9.9930
angles (deg): 60.00 60.00 60.00
Last column: nearest neighbours and their distance in Å.
Fractional positions:
Rb1 0.8651 0.4048 0.8651  4 Br 3.30-3.40
Rb2 0.8651 0.8651 0.4048  4 Br 3.30-3.40
Rb3 0.4048 0.8651 0.8651  4 Br 3.30-3.40
Rb4 0.9242 0.3586 0.3586  1 O 2.66
Rb5 0.8651 0.8651 0.8651  4 Br 3.30-3.40
Rb6 0.3586 0.3586 0.9242  1 O 2.66
Rb7 0.3586 0.3586 0.3586  1 O 2.66
Rb8 0.3586 0.9242 0.3586  1 O 2.66
Br1 0.1257 0.6248 0.6248  6 Rb 3.40-3.78
Br2 0.0000 0.0000 0.0000  4 Rb 3.30
Br3 0.6248 0.6248 0.6248  6 Rb 3.40-3.78
Br4 0.6248 0.1257 0.6248  6 Rb 3.40-3.78
Br5 0.6248 0.6248 0.1257  6 Rb 3.40-3.78
O1 0.2500 0.2500 0.2500  4 Rb 2.66

# 3
RbBr2O: optimized geometry, PBE-GGA.

Output
- relative energy among the computed polymorphs (meV/atom) = 666

a b c (Å): 9.1223 9.1223 9.1223
angles (deg): 28.58 28.58 28.58
Last column: nearest neighbours and their distance in Å.
Fractional positions:
O1 0.5000 0.5000 0.5000  6 Br 2.89
Br1 0.8818 0.8818 0.8818  3 O 2.89, 1 Rb 3.10
Br2 0.1182 0.1182 0.1182  3 O 2.89, 1 Rb 3.10
Rb1 0.0000 0.0000 0.0000  2 Br 3.10

# 4
Rb2BrO: optimized geometry, PBE-GGA.

Output
- relative energy among the computed polymorphs (meV/atom) = 130

a b c (Å): 5.5850 5.5850 5.5850
angles (deg): 60.00 60.00 60.00
Last column: nearest neighbours and their distance in Å.
Fractional positions:
Rb1 0.7500 0.7500 0.7500  4 O 3.42, 4 Br 3.42
Rb2 0.2500 0.2500 0.2500  4 Br 3.42, 4 O 3.42
O1 0.0000 0.0000 0.0000  8 Rb 3.42
Br1 0.5000 0.5000 0.5000  8 Rb 3.42

# 5
Rb2BrO: optimized geometry, PBE-GGA.

Output
- relative energy among the computed polymorphs (meV/atom) = 0

a b c (Å): 8.2331 8.2331 7.2828
angles (deg): 55.58 55.58 90.00
Last column: nearest neighbours and their distance in Å.
Fractional positions:
O1 0.5000 0.5000 0.0000  4 Rb 2.81
O2 0.2500 0.7500 0.5000  4 Rb 2.81
Br1 0.0000 0.0000 0.0000  4 Rb 3.45
Br2 0.7500 0.2500 0.5000  4 Rb 3.45
Rb1 0.8750 0.8161 0.7500  2 O 2.81
Rb2 0.3750 0.4339 0.7500  2 O 2.81
Rb3 0.5661 0.1250 0.2500  2 O 2.81
Rb4 0.1839 0.6250 0.2500  2 O 2.81

# 6
Rb3Br6O: optimized geometry, PBE-GGA.

a b c (Å): 7.6565 7.6565 8.9346
angles (deg): 64.63 64.63 90.00
Last column: nearest neighbours and their distance in Å.
Fractional positions:
Br1 0.2300 0.2300 0.5400  1 Rb 3.27
Br2 0.7030 0.7030 0.0000  1 O 2.20
Br3 0.7700 0.7700 0.4600  1 Rb 3.27
Br4 0.7030 0.2970 0.0000  1 O 2.20
Br5 0.2970 0.2970 0.0000  1 O 2.20
Br6 0.2970 0.7030 0.0000  1 O 2.20
O1 0.5000 0.5000 0.0000  4 Br 2.20
Rb1 0.2500 0.7500 0.5000  4 Br 3.84
Rb2 0.0000 0.0000 0.0000  6 Br 3.22-3.27
Rb3 0.7500 0.2500 0.5000  4 Br 3.84

# 7
Rb2BrO2: optimized geometry, PBE-GGA.

Output
- relative energy among the computed polymorphs (meV/atom) = 817

a b c (Å): 3.5889 3.5889 9.5778
angles (deg): 79.20 79.20 90.00
Last column: nearest neighbours and their distance in Å.
Fractional positions:
O1 0.2500 0.7500 0.5000  4 O 2.54, 4 Rb 2.80
O2 0.7500 0.2500 0.5000  4 O 2.54, 4 Rb 2.80
Rb1 0.3663 0.3663 0.2674  4 O 2.80
Rb2 0.6337 0.6337 0.7326  4 O 2.80
Br1 0.0000 0.0000 0.0000  8 Rb 3.54, 4 Br 3.59

# 8
Rb4BrO: optimized geometry, PBE-GGA.

Output
- relative energy among the computed polymorphs (meV/atom) = 30

a b c (Å): 4.4532 7.7348 7.7538
angles (deg): 89.76 89.96 89.96
Last column: nearest neighbours and their distance in Å.
Fractional positions:
Rb1 0.0013 0.2560 0.2451  1 O 2.80
Rb2 0.5006 0.1641 0.6685  2 O 2.89-2.90
Rb3 0.5020 0.8304 0.3278  2 O 2.89-2.90
Rb4 0.0012 0.7385 0.7511  1 O 2.80
O1 0.0015 0.9973 0.4981  6 Rb 2.80-2.90
Br1 0.5013 0.4973 0.9982  6 Rb 3.48-3.64

| no. | raw total energy (eV/cell) |
| --- | --- |
| 1 | -23.36 |
| 2 | -40.24 |
| 3 | -8.40 |
| 4 | -12.47 |
| 5 | -25.98 |
| 6 | -24.75 |
| 7 | -15.38 |
| 8 | -16.50 |